! Ho3Al4 PBE optimized geometry; values from VASP
&SYSTEM
  ibrav = 0, nat = 14, ntyp = 2
/
ATOMIC_SPECIES
Ho 164.93 Ho.upf
Al 26.98 Al.upf
ATOMIC_POSITIONS crystal
Ho 0.005 0.250 0.011
Ho 0.294 0.600 0.589
Ho 0.294 0.900 0.589
Ho 0.706 0.100 0.411
Ho 0.706 0.400 0.411
Ho 0.995 0.750 0.989
Al 0.000 0.000 0.000
Al 0.000 0.500 0.000
Al 0.282 0.250 0.565
Al 0.421 0.099 0.841
Al 0.421 0.401 0.841
Al 0.579 0.599 0.159
Al 0.579 0.901 0.159
Al 0.718 0.750 0.435
CELL_PARAMETERS angstrom
4.150 0.000 0.000
0.000 14.159 0.000
-2.067 0.000 5.533
! - ΔE_f: -0.395 eV per atom
! - Offset from the most stable computed form: 3.2 kJ/mol of atoms

***

! Ho3Al4 PBE optimized geometry; values from VASP
&SYSTEM
  ibrav = 0, nat = 7, ntyp = 2
/
ATOMIC_SPECIES
Ho 164.93 Ho.upf
Al 26.98 Al.upf
ATOMIC_POSITIONS crystal
Ho 0.000 0.000 0.000
Ho 0.304 0.804 0.500
Ho 0.696 0.196 0.500
Al 0.139 0.639 0.500
Al 0.434 0.434 0.000
Al 0.566 0.566 0.000
Al 0.861 0.361 0.500
CELL_PARAMETERS angstrom
-1.776 2.257 9.819
1.776 -2.257 9.819
1.776 2.257 -9.819
! - ΔE_f: -0.428 eV per atom
! - Offset from the most stable computed form: 0.0 kJ/mol of atoms

***

! Ho2Al3 PBE optimized geometry; values from VASP
&SYSTEM
  ibrav = 0, nat = 5, ntyp = 2
/
ATOMIC_SPECIES
Ho 164.93 Ho.upf
Al 26.98 Al.upf
ATOMIC_POSITIONS crystal
Ho 0.095 0.095 0.095
Ho 0.905 0.905 0.905
Al 0.337 0.337 0.337
Al 0.500 0.500 0.500
Al 0.663 0.663 0.663
CELL_PARAMETERS angstrom
2.346 1.355 5.930
-2.346 1.355 5.930
0.000 -2.709 5.930
! - ΔE_f: -0.314 eV per atom

***

! HoAl PBE optimized geometry; values from VASP
&SYSTEM
  ibrav = 0, nat = 16, ntyp = 2
/
ATOMIC_SPECIES
Ho 164.93 Ho.upf
Al 26.98 Al.upf
ATOMIC_POSITIONS crystal
Ho 0.101 0.168 0.250
Ho 0.101 0.332 0.750
Ho 0.339 0.016 0.750
Ho 0.339 0.484 0.250
Ho 0.661 0.516 0.750
Ho 0.661 0.984 0.250
Ho 0.899 0.668 0.250
Ho 0.899 0.832 0.750
Al 0.159 0.597 0.750
Al 0.159 0.903 0.250
Al 0.430 0.750 0.000
Al 0.430 0.750 0.500
Al 0.570 0.250 0.000
Al 0.570 0.250 0.500
Al 0.841 0.097 0.750
Al 0.841 0.403 0.250
CELL_PARAMETERS angstrom
5.828 0.000 0.000
0.000 11.394 0.000
0.000 0.000 5.589
! - ΔE_f: -0.418 eV per atom

***

! Ho3Al PBE optimized geometry; values from VASP
&SYSTEM
  ibrav = 0, nat = 4, ntyp = 2
/
ATOMIC_SPECIES
Ho 164.93 Ho.upf
Al 26.98 Al.upf
ATOMIC_POSITIONS crystal
Ho 0.000 0.000 0.000
Ho 0.000 0.500 0.445
Ho 0.500 0.500 0.749
Al 0.500 0.000 0.252
CELL_PARAMETERS angstrom
3.342 0.000 0.000
0.000 3.367 0.000
0.000 0.000 10.239
! - ΔE_f: 0.088 eV per atom

***

! Ho7Al3 PBE optimized geometry; values from VASP
&SYSTEM
  ibrav = 0, nat = 20, ntyp = 2
/
ATOMIC_SPECIES
Ho 164.93 Ho.upf
Al 26.98 Al.upf
ATOMIC_POSITIONS crystal
Ho 0.057 0.528 0.000
Ho 0.124 0.248 0.247
Ho 0.124 0.876 0.247
Ho 0.248 0.124 0.747
Ho 0.333 0.667 0.431
Ho 0.472 0.528 0.000
Ho 0.472 0.943 0.000
Ho 0.528 0.057 0.500
Ho 0.528 0.472 0.500
Ho 0.667 0.333 0.931
Ho 0.752 0.876 0.247
Ho 0.876 0.124 0.747
Ho 0.876 0.752 0.747
Ho 0.943 0.472 0.500
Al 0.194 0.389 0.705
Al 0.194 0.806 0.705
Al 0.389 0.194 0.205
Al 0.611 0.806 0.705
Al 0.806 0.194 0.205
Al 0.806 0.611 0.205
CELL_PARAMETERS angstrom
10.223 0.000 0.000
-5.112 8.853 0.000
0.000 0.000 6.205
! - ΔE_f: -0.157 eV per atom

***

! Ho4AlI5 PBE optimized geometry; values from VASP
&SYSTEM
  ibrav = 0, nat = 10, ntyp = 3
/
ATOMIC_SPECIES
Ho 164.93 Ho.upf
Al 26.98 Al.upf
I 126.90 I.upf
ATOMIC_POSITIONS crystal
Ho 0.000 0.000 0.218
Ho 0.000 0.000 0.782
Ho 0.352 0.352 0.924
Ho 0.648 0.648 0.076
Al 0.500 0.500 0.000
I 0.167 0.167 0.337
I 0.174 0.174 0.833
I 0.500 0.500 0.500
I 0.826 0.826 0.167
I 0.833 0.833 0.663
CELL_PARAMETERS angstrom
9.616 -2.102 0.000
9.616 2.102 0.000
-1.896 0.000 8.625
! - Offset from the most stable computed form: 0.0 kJ/mol of atoms
! - Formation energy without anion corrections: -0.9733 eV/atom

***

! HoAlI PBE optimized geometry; values from VASP
&SYSTEM
  ibrav = 0, nat = 6, ntyp = 3
/
ATOMIC_SPECIES
Ho 164.93 Ho.upf
Al 26.98 Al.upf
I 126.90 I.upf
ATOMIC_POSITIONS crystal
Ho 0.056 0.056 0.165
Ho 0.944 0.944 0.835
Al 0.339 0.339 0.017
Al 0.661 0.661 0.983
I 0.223 0.223 0.675
I 0.777 0.777 0.325
CELL_PARAMETERS angstrom
3.698 -2.135 0.000
3.698 2.135 0.000
-2.515 0.000 12.260
! - Formation energy without anion corrections: -0.8696 eV/atom

***

! Ho4Al2I5 PBE optimized geometry; values from VASP
&SYSTEM
  ibrav = 0, nat = 11, ntyp = 3
/
ATOMIC_SPECIES
Ho 164.93 Ho.upf
Al 26.98 Al.upf
I 126.90 I.upf
ATOMIC_POSITIONS crystal
Ho 0.026 0.026 0.292
Ho 0.336 0.336 0.568
Ho 0.664 0.664 0.432
Ho 0.974 0.974 0.708
Al 0.448 0.448 0.455
Al 0.552 0.552 0.545
I 0.147 0.147 0.163
I 0.210 0.210 0.680
I 0.500 0.500 0.000
I 0.790 0.790 0.320
I 0.853 0.853 0.837
CELL_PARAMETERS angstrom
11.980 -2.027 0.000
11.980 2.027 0.000
-0.505 0.000 8.506
! - Formation energy without anion corrections: -0.7748 eV/atom

***

! HoAlI PBE optimized geometry; values from VASP
&SYSTEM
  ibrav = 0, nat = 6, ntyp = 3
/
ATOMIC_SPECIES
Ho 164.93 Ho.upf
Al 26.98 Al.upf
I 126.90 I.upf
ATOMIC_POSITIONS crystal
Ho 0.069 0.931 0.750
Ho 0.931 0.069 0.250
Al 0.470 0.530 0.750
Al 0.530 0.470 0.250
I 0.168 0.832 0.250
I 0.832 0.168 0.750
CELL_PARAMETERS angstrom
2.216 -11.261 0.000
2.216 11.261 0.000
0.000 0.000 4.208
! - Formation energy without anion corrections: -0.6678 eV/atom

***

! Ho4AlI5 PBE optimized geometry; values from VASP
&SYSTEM
  ibrav = 0, nat = 10, ntyp = 3
/
ATOMIC_SPECIES
Ho 164.93 Ho.upf
Al 26.98 Al.upf
I 126.90 I.upf
ATOMIC_POSITIONS crystal
Ho 0.000 0.000 0.219
Ho 0.000 0.000 0.781
Ho 0.373 0.373 0.998
Ho 0.627 0.627 0.002
Al 0.500 0.500 0.000
I 0.152 0.152 0.252
I 0.152 0.152 0.753
I 0.500 0.500 0.500
I 0.848 0.848 0.247
I 0.848 0.848 0.748
CELL_PARAMETERS angstrom
10.770 -2.093 0.000
10.770 2.093 0.000
-0.067 0.000 8.782
! - Offset from the most stable computed form: 3.2 kJ/mol of atoms
! - Formation energy without anion corrections: -0.9399 eV/atom

***

Fermi-level density of states for the records above, in order: 11.5 5.7 3.5 11.6 5.0 28.3 4.3 1.3 6.5 3.3 3.9 states/eV/cell
Calculated density for the records above, in order: 6.2 6.4 6.0 6.9 7.5 7.3 6.3 5.5 5.4 5.0 5.5 g/cm³
Uncorrected energy for the records above, in order: -31.47 -31.70 -21.96 -9.16 -17.12 -44.84 -39.54 -12.48 -42.07 -11.87 -39.20 eV per formula unit